SrCd2Mo: optimized geometry, GGA-PBEsol.

a = 3.0523 Å, b = 3.0523 Å, c = 10.6451 Å
α = 81.76°, β = 81.76°, γ = 60.00°
Last column: nearest neighbours and their distance in Å.
Atoms (fractional coordinates):
Cd (0.2410, 0.2410, 0.2769)  3 Mo 2.93, 6 Cd 3.05
Cd (0.7590, 0.7590, 0.7231)  3 Mo 2.93, 6 Cd 3.05
Mo (0.5000, 0.5000, 0.5000)  6 Cd 2.93, 6 Mo 3.05
Sr (0.0000, 0.0000, 0.0000)  6 Sr 3.05, 6 Cd 3.40

DOS at the Fermi energy ... 3.44 states/eV per cell
Symmetry ... R-3m
Offset from the most stable computed form ... 0.094 eV/atom
ΔH_f (0 K) ... 606 meV per atom



SrCd3Mo: optimized geometry, GGA-PBEsol.

a = 5.8398 Å, b = 5.8398 Å, c = 5.8398 Å
α = 90.00°, β = 90.00°, γ = 90.00°
Last column: nearest neighbours and their distance in Å.
Atoms (fractional coordinates):
Sr (0.0000, 0.0000, 0.0000)  6 Cd 2.92
Mo (0.5000, 0.5000, 0.5000)  12 Cd 4.13
Cd (0.0000, 0.5000, 0.0000)  2 Sr 2.92
Cd (0.0000, 0.0000, 0.5000)  2 Sr 2.92
Cd (0.5000, 0.0000, 0.0000)  2 Sr 2.92

DOS at the Fermi energy ... 2.93 states/eV per cell
Symmetry ... Pm-3m
ΔH_f (0 K) ... 1756 meV per atom



SrCd2Mo: optimized geometry, GGA-PBEsol.

a = 3.0160 Å, b = 5.3791 Å, c = 5.3791 Å
α = 104.69°, β = 90.00°, γ = 90.00°
Last column: nearest neighbours and their distance in Å.
Atoms (fractional coordinates):
Cd (0.0000, 0.0000, 0.5000)  4 Cd 3.02-3.29, 4 Sr 3.08, 4 Mo 3.08
Cd (0.0000, 0.5000, 0.0000)  4 Cd 3.02-3.29, 4 Mo 3.08, 4 Sr 3.08
Mo (0.5000, 0.5000, 0.5000)  2 Mo 3.02, 8 Cd 3.08, 2 Sr 3.29
Sr (0.5000, 0.0000, 0.0000)  2 Sr 3.02, 8 Cd 3.08, 2 Mo 3.29

DOS at the Fermi energy ... 1.86 states/eV per cell
Symmetry ... Cmmm
Offset from the most stable computed form ... 0.000 eV/atom
ΔH_f (0 K) ... 511 meV per atom



SrCd2Mo: optimized geometry, GGA-PBEsol.

a = 2.8697 Å, b = 5.6597 Å, c = 5.8699 Å
α = 114.66°, β = 90.00°, γ = 90.00°
Last column: nearest neighbours and their distance in Å.
Atoms (fractional coordinates):
Cd (0.0000, 0.0000, 0.0000)  2 Cd 2.87, 2 Sr 3.11, 4 Mo 3.17
Cd (0.5000, 0.0000, 0.5000)  2 Cd 2.87, 2 Mo 3.11, 4 Sr 3.17
Mo (0.5000, 0.5000, 0.0000)  2 Mo 2.87, 6 Cd 3.11-3.17
Sr (0.0000, 0.5000, 0.5000)  2 Sr 2.87, 6 Cd 3.11-3.17

DOS at the Fermi energy ... 2.71 states/eV per cell
Symmetry ... P2/m
Offset from the most stable computed form ... 0.130 eV/atom
ΔH_f (0 K) ... 641 meV per atom



SrCdMo2: optimized geometry, GGA-PBEsol.

a = 3.2750 Å, b = 3.2804 Å, c = 7.9752 Å
α = 92.22°, β = 90.00°, γ = 90.00°
Last column: nearest neighbours and their distance in Å.
Atoms (fractional coordinates):
Cd (0.5000, 0.5035, 0.8011)  5 Mo 2.95-3.04, 4 Cd 3.27-3.28
Mo (0.0000, 0.0343, 0.0336)  4 Mo 2.47-2.74
Mo (0.5000, 0.4814, 0.1815)  4 Mo 2.47-2.74
Sr (0.0000, 0.9808, 0.4837)  4 Sr 3.27-3.28, 5 Mo 3.30-3.60, 4 Cd 3.42-3.44

DOS at the Fermi energy ... 3.60 states/eV per cell
Symmetry ... Pm
Offset from the most stable computed form ... 0.000 eV/atom
ΔH_f (0 K) ... 388 meV per atom



Sr2CdMo: optimized geometry, GGA-PBEsol.

a = 3.8204 Å, b = 5.4977 Å, c = 5.4977 Å
α = 90.00°, β = 90.00°, γ = 90.00°
Last column: nearest neighbours and their distance in Å.
Atoms (fractional coordinates):
Cd (0.5000, 0.5000, 0.5000)  8 Sr 3.35
Mo (0.5000, 0.0000, 0.0000)  8 Sr 3.35
Sr (0.0000, 0.0000, 0.5000)  4 Cd 3.35, 4 Mo 3.35
Sr (0.0000, 0.5000, 0.0000)  4 Cd 3.35, 4 Mo 3.35

DOS at the Fermi energy ... 3.58 states/eV per cell
Symmetry ... P4/mmm
Offset from the most stable computed form ... 0.000 eV/atom
ΔH_f (0 K) ... 712 meV per atom



Sr2CdMo: optimized geometry, GGA-PBEsol.

a = 4.8588 Å, b = 4.8588 Å, c = 5.7499 Å
α = 114.99°, β = 114.99°, γ = 90.00°
Last column: nearest neighbours and their distance in Å.
Atoms (fractional coordinates):
Cd (0.5000, 0.5000, 0.0000)  4 Mo 3.35, 8 Sr 3.35-3.44
Mo (0.2500, 0.7500, 0.5000)  4 Cd 3.35, 8 Sr 3.35-3.44
Sr (0.0000, 0.0000, 0.0000)  4 Mo 3.35, 4 Sr 3.35, 4 Cd 3.44
Sr (0.7500, 0.2500, 0.5000)  4 Cd 3.35, 4 Sr 3.35, 4 Mo 3.44

DOS at the Fermi energy ... 4.61 states/eV per cell
Symmetry ... I-4m2
Offset from the most stable computed form ... 0.067 eV/atom
ΔH_f (0 K) ... 780 meV per atom



SrCdMo2: optimized geometry, GGA-PBEsol.

a = 3.0563 Å, b = 4.5177 Å, c = 6.9953 Å
α = 96.52°, β = 90.00°, γ = 109.77°
Last column: nearest neighbours and their distance in Å.
Atoms (fractional coordinates):
Cd (0.7372, 0.4745, 0.1893)  5 Mo 2.87-2.96, 2 Cd 3.06
Mo (0.9940, 0.9880, 0.9583)  3 Mo 2.52-2.59
Mo (0.2690, 0.5381, 0.8340)  3 Mo 2.52-2.59
Sr (0.4997, 0.9994, 0.5184)  2 Sr 3.06, 3 Mo 3.12-3.35, 3 Cd 3.24-3.37

DOS at the Fermi energy ... 4.07 states/eV per cell
Symmetry ... Cm
Offset from the most stable computed form ... 0.295 eV/atom
ΔH_f (0 K) ... 683 meV per atom



Ta2CdMo: optimized geometry, GGA-PBEsol.

a = 2.7510 Å, b = 2.7510 Å, c = 9.2588 Å
α = 90.00°, β = 90.00°, γ = 90.00°
Last column: nearest neighbours and their distance in Å.
Atoms (fractional coordinates):
Cd (0.0000, 0.0000, 0.5045)  4 Cd 2.75, 4 Mo 2.99
Mo (0.5000, 0.5000, 0.7503)  4 Mo 2.75, 4 Cd 2.99, 4 Ta 3.01
Ta (0.0000, 0.0000, 0.9989)  8 Ta 2.75-3.01, 4 Mo 3.01
Ta (0.5000, 0.5000, 0.2463)  8 Ta 2.75-3.01

DOS at the Fermi energy ... 3.42 states/eV per cell
Symmetry ... P4mm
ΔH_f (0 K) ... 264 meV per atom



TaCdMo2: optimized geometry, GGA-PBEsol.

a = 2.6728 Å, b = 4.9394 Å, c = 5.3013 Å
α = 95.10°, β = 90.00°, γ = 105.70°
Last column: nearest neighbours and their distance in Å.
Atoms (fractional coordinates):
Cd (0.5000, 0.0000, 0.0000)  2 Cd 2.67, 6 Mo 2.86-2.91, 4 Ta 2.97
Mo (0.7534, 0.5069, 0.7502)  6 Mo 2.67-2.97, 3 Ta 2.80-2.96, 3 Cd 2.86-2.91
Mo (0.2466, 0.4931, 0.2498)  6 Mo 2.67-2.97, 3 Ta 2.80-2.96, 3 Cd 2.86-2.91
Ta (0.0000, 0.0000, 0.5000)  2 Ta 2.67, 6 Mo 2.80-2.96, 4 Cd 2.97

DOS at the Fermi energy ... 3.36 states/eV per cell
Symmetry ... C2/m
ΔH_f (0 K) ... 402 meV per atom



TaCdMo2: optimized geometry, GGA-PBEsol.

a = 2.6899 Å, b = 2.6899 Å, c = 9.3220 Å
α = 90.00°, β = 90.00°, γ = 90.00°
Last column: nearest neighbours and their distance in Å.
Atoms (fractional coordinates):
Cd (0.5000, 0.5000, 0.5000)  4 Cd 2.69, 8 Mo 3.01
Mo (0.0000, 0.0000, 0.7503)  4 Mo 2.69, 4 Ta 3.01, 4 Cd 3.01
Mo (0.0000, 0.0000, 0.2497)  4 Mo 2.69, 4 Ta 3.01, 4 Cd 3.01
Ta (0.5000, 0.5000, 0.0000)  4 Ta 2.69, 8 Mo 3.01

DOS at the Fermi energy ... 2.26 states/eV per cell
Symmetry ... P4/mmm
ΔH_f (0 K) ... 330 meV per atom



TaCdMo2: optimized geometry, GGA-PBEsol.

a = 3.9409 Å, b = 3.9409 Å, c = 5.1295 Å
α = 112.59°, β = 112.59°, γ = 90.00°
Last column: nearest neighbours and their distance in Å.
Atoms (fractional coordinates):
Cd (0.0000, 0.0000, 0.0000)  4 Ta 2.79, 8 Mo 2.92
Mo (0.7500, 0.2500, 0.5000)  4 Mo 2.79, 4 Cd 2.92, 4 Ta 2.92
Mo (0.2500, 0.7500, 0.5000)  4 Mo 2.79, 4 Cd 2.92, 4 Ta 2.92
Ta (0.5000, 0.5000, 0.0000)  4 Cd 2.79, 8 Mo 2.92

DOS at the Fermi energy ... 4.10 states/eV per cell
Symmetry ... I4/mmm
ΔH_f (0 K) ... 447 meV per atom



Ta2CdMo: optimized geometry, GGA-PBEsol.

a = 2.7496 Å, b = 5.0092 Å, c = 5.2806 Å
α = 94.02°, β = 90.00°, γ = 105.93°
Last column: nearest neighbours and their distance in Å.
Atoms (fractional coordinates):
Cd (0.0000, 0.0000, 0.5000)  2 Cd 2.75, 6 Ta 2.90-2.96, 4 Mo 2.98
Mo (0.5000, 0.0000, 0.0000)  2 Mo 2.75, 6 Ta 2.76-3.03, 4 Cd 2.98
Ta (0.7438, 0.4876, 0.7555)  6 Ta 2.75-3.04, 3 Mo 2.76-3.03, 3 Cd 2.90-2.96
Ta (0.2562, 0.5124, 0.2445)  6 Ta 2.75-3.04, 3 Mo 2.76-3.03, 3 Cd 2.90-2.96

DOS at the Fermi energy ... 3.48 states/eV per cell
Symmetry ... C2/m
ΔH_f (0 K) ... 315 meV per atom



TaCdMo2: optimized geometry, GGA-PBEsol.

a = 2.6914 Å, b = 4.3938 Å, c = 5.6790 Å
α = 90.00°, β = 90.00°, γ = 90.00°
Last column: nearest neighbours and their distance in Å.
Atoms (fractional coordinates):
Cd (0.5000, 0.5000, 0.7516)  2 Cd 2.69, 6 Mo 2.80-2.98, 4 Ta 2.97
Mo (0.0000, 0.0000, 0.0140)  6 Mo 2.69-2.89, 2 Ta 2.70-2.98, 4 Cd 2.98
Mo (0.5000, 0.5000, 0.2445)  6 Mo 2.69-2.89, 2 Cd 2.80-2.88, 4 Ta 2.93
Ta (0.0000, 0.0000, 0.4900)  2 Ta 2.69, 6 Mo 2.70-2.98, 4 Cd 2.97

DOS at the Fermi energy ... 3.44 states/eV per cell
Symmetry ... Pmm2
ΔH_f (0 K) ... 360 meV per atom



Ta4CdMo: optimized geometry, GGA-PBEsol.

a = 5.3725 Å, b = 5.3725 Å, c = 5.3725 Å
α = 60.00°, β = 60.00°, γ = 60.00°
Last column: nearest neighbours and their distance in Å.
Atoms (fractional coordinates):
Cd (0.7500, 0.7500, 0.7500)  12 Ta 3.15, 4 Mo 3.29
Mo (0.0000, 0.0000, 0.0000)  12 Ta 3.15, 4 Cd 3.29
Ta (0.3735, 0.3735, 0.3735)  6 Ta 2.65-2.72
Ta (0.3735, 0.3735, 0.8795)  6 Ta 2.65-2.72
Ta (0.8795, 0.3735, 0.3735)  6 Ta 2.65-2.72
Ta (0.3735, 0.8795, 0.3735)  6 Ta 2.65-2.72

DOS at the Fermi energy ... 6.14 states/eV per cell
Symmetry ... F-43m
ΔH_f (0 K) ... 486 meV per atom



Number 1: magnetization 0.001 μB per formula unit. Number 2: magnetization 4.839 μB per formula unit. Number 3: magnetization 0.000 μB per formula unit. Number 4: magnetization 0.000 μB per formula unit. Number 5: magnetization 0.000 μB per formula unit. Number 6: magnetization 3.311 μB per formula unit. Number 7: magnetization 2.535 μB per formula unit. Number 8: magnetization 0.000 μB per formula unit. Number 9: magnetization 0.001 μB per formula unit. Number 10: magnetization 0.000 μB per formula unit. Number 11: magnetization 0.000 μB per formula unit. Number 12: magnetization 0.000 μB per formula unit. Number 13: magnetization 0.000 μB per formula unit. Number 14: magnetization 0.000 μB per formula unit. Number 15: magnetization 0.001 μB per formula unit.